Compound: HfCdNO
Source: OQMD
Functional: GGA-PBE
Structure: optimized geometry Values from VASP.

The structure in Quantum ESPRESSO input format:
```
&SYSTEM
  ibrav = 0, nat = 16, ntyp = 4
/
ATOMIC_SPECIES
Hf 178.49 Hf.upf
Cd 112.41 Cd.upf
N 14.01 N.upf
O 16.00 O.upf
CELL_PARAMETERS angstrom
8.519 0.000 0.000
0.000 10.309 0.000
-0.637 0.000 3.122
ATOMIC_POSITIONS crystal
Hf 0.000 0.138 0.000
Hf 0.000 0.862 0.000
Hf 0.500 0.362 0.000
Hf 0.500 0.638 0.000
Cd 0.139 0.500 0.302
Cd 0.368 0.000 0.666
Cd 0.639 0.000 0.302
Cd 0.868 0.500 0.666
N 0.107 0.000 0.542
N 0.328 0.500 0.900
N 0.607 0.500 0.542
N 0.828 0.000 0.900
O 0.452 0.251 0.473
O 0.452 0.749 0.473
O 0.952 0.249 0.473
O 0.952 0.751 0.473
```

Values from the calculation:
**Total moment**: 0.0 Bohr magnetons per cell
**Energy above the lowest structure with this stoichiometry**: 0.090 eV per atom
**Space group**: Cm



Compound: LiPm2Al3
Source: OQMD
Functional: GGA-PBE
Structure: optimized geometry Values from VASP.

The structure in Quantum ESPRESSO input format:
```
&SYSTEM
  ibrav = 0, nat = 12, ntyp = 3
/
ATOMIC_SPECIES
Li 6.94 Li.upf
Pm 145.00 Pm.upf
Al 26.98 Al.upf
CELL_PARAMETERS angstrom
5.724 0.000 0.000
-2.862 4.957 0.000
0.000 0.000 9.076
ATOMIC_POSITIONS crystal
Li 0.000 0.000 0.000
Li 0.000 0.000 0.500
Pm 0.333 0.667 0.074
Pm 0.333 0.667 0.426
Pm 0.667 0.333 0.574
Pm 0.667 0.333 0.926
Al 0.170 0.340 0.750
Al 0.170 0.830 0.750
Al 0.340 0.170 0.250
Al 0.660 0.830 0.750
Al 0.830 0.170 0.250
Al 0.830 0.660 0.250
```

Values from the calculation:
**Total moment**: 0.0 Bohr magnetons per cell
**Energy**: -24.95 eV/f.u.
**Space group**: P6_3/mmc



Compound: GdHoCd2
Source: OQMD
Functional: GGA-PBE
Structure: optimized geometry Values from VASP.

The structure in Quantum ESPRESSO input format:
```
&SYSTEM
  ibrav = 0, nat = 16, ntyp = 3
/
ATOMIC_SPECIES
Gd 157.25 Gd.upf
Ho 164.93 Ho.upf
Cd 112.41 Cd.upf
CELL_PARAMETERS angstrom
7.480 0.000 0.000
0.000 7.480 0.000
0.000 0.000 7.480
ATOMIC_POSITIONS crystal
Gd 0.000 0.000 0.000
Gd 0.000 0.500 0.500
Gd 0.500 0.000 0.500
Gd 0.500 0.500 0.000
Ho 0.000 0.000 0.500
Ho 0.000 0.500 0.000
Ho 0.500 0.000 0.000
Ho 0.500 0.500 0.500
Cd 0.250 0.250 0.250
Cd 0.250 0.250 0.750
Cd 0.250 0.750 0.250
Cd 0.250 0.750 0.750
Cd 0.750 0.250 0.250
Cd 0.750 0.250 0.750
Cd 0.750 0.750 0.250
Cd 0.750 0.750 0.750
```

Values from the calculation:
**Total moment**: 1.5 Bohr magnetons per cell
**Formation energy from the elements**: -0.327 eV/atom
**Space group**: Fm-3m



Compound: TmPS
Source: OQMD
Functional: GGA-PBE
Structure: optimized geometry Values from VASP.

The structure in Quantum ESPRESSO input format:
```
&SYSTEM
  ibrav = 0, nat = 24, ntyp = 3
/
ATOMIC_SPECIES
Tm 168.93 Tm.upf
P 30.97 P.upf
S 32.06 S.upf
CELL_PARAMETERS angstrom
5.273 0.000 0.000
0.000 5.249 0.000
0.000 0.000 16.540
ATOMIC_POSITIONS crystal
Tm 0.014 0.250 0.145
Tm 0.016 0.750 0.362
Tm 0.484 0.250 0.862
Tm 0.486 0.750 0.645
Tm 0.514 0.250 0.355
Tm 0.516 0.750 0.138
Tm 0.984 0.250 0.638
Tm 0.986 0.750 0.855
P 0.212 0.533 0.997
P 0.212 0.967 0.997
P 0.288 0.033 0.497
P 0.288 0.467 0.497
P 0.712 0.533 0.503
P 0.712 0.967 0.503
P 0.788 0.033 0.003
P 0.788 0.467 0.003
S 0.011 0.250 0.315
S 0.015 0.750 0.189
S 0.485 0.250 0.689
S 0.489 0.750 0.815
S 0.511 0.250 0.185
S 0.515 0.750 0.311
S 0.985 0.250 0.811
S 0.989 0.750 0.685
```

Values from the calculation:
**Total moment**: 0.0 Bohr magnetons per cell
**Energy**: -18.65 eV/f.u.
**Space group**: Pnma



Compound: ErCo2SiGe
Source: OQMD
Functional: GGA-PBE
Structure: optimized geometry Values from VASP.

The structure in Quantum ESPRESSO input format:
```
&SYSTEM
  ibrav = 0, nat = 10, ntyp = 4
/
ATOMIC_SPECIES
Er 167.26 Er.upf
Co 58.93 Co.upf
Si 28.09 Si.upf
Ge 72.64 Ge.upf
CELL_PARAMETERS angstrom
3.901 0.000 0.000
0.000 3.901 0.000
0.000 0.000 9.899
ATOMIC_POSITIONS crystal
Er 0.000 0.000 0.000
Er 0.500 0.500 0.500
Co 0.000 0.500 0.256
Co 0.000 0.500 0.756
Co 0.500 0.000 0.256
Co 0.500 0.000 0.756
Si 0.000 0.000 0.371
Si 0.500 0.500 0.871
Ge 0.000 0.000 0.625
Ge 0.500 0.500 0.125
```

Values from the calculation:
**Total moment**: 0.0 Bohr magnetons per cell
**Energy**: -32.42 eV/f.u.
**Space group**: I4mm



Compound: HfCuSiIr
Source: OQMD
Functional: GGA-PBE
Structure: optimized geometry Values from VASP.

The structure in Quantum ESPRESSO input format:
```
&SYSTEM
  ibrav = 0, nat = 16, ntyp = 4
/
ATOMIC_SPECIES
Hf 178.49 Hf.upf
Cu 63.55 Cu.upf
Si 28.09 Si.upf
Ir 192.22 Ir.upf
CELL_PARAMETERS angstrom
6.216 0.000 0.000
0.000 6.216 0.000
0.000 0.000 6.216
ATOMIC_POSITIONS crystal
Hf 0.000 0.000 0.000
Hf 0.000 0.500 0.500
Hf 0.500 0.000 0.500
Hf 0.500 0.500 0.000
Cu 0.250 0.250 0.750
Cu 0.250 0.750 0.250
Cu 0.750 0.250 0.250
Cu 0.750 0.750 0.750
Si 0.000 0.000 0.500
Si 0.000 0.500 0.000
Si 0.500 0.000 0.000
Si 0.500 0.500 0.500
Ir 0.250 0.250 0.250
Ir 0.250 0.750 0.750
Ir 0.750 0.250 0.750
Ir 0.750 0.750 0.250
```

Values from the calculation:
**Total moment**: 0.0 Bohr magnetons per cell
**Energy above the lowest structure with this stoichiometry**: 0.000 eV per atom
**Space group**: F-43m



Compound: NdAlPd
Source: OQMD
Functional: GGA-PBE
Structure: optimized geometry Values from VASP.

The structure in Quantum ESPRESSO input format:
```
&SYSTEM
  ibrav = 0, nat = 9, ntyp = 3
/
ATOMIC_SPECIES
Nd 144.24 Nd.upf
Al 26.98 Al.upf
Pd 106.42 Pd.upf
CELL_PARAMETERS angstrom
7.175 0.000 0.000
-3.587 6.213 0.000
0.000 0.000 4.247
ATOMIC_POSITIONS crystal
Nd 0.000 0.579 0.000
Nd 0.421 0.421 0.000
Nd 0.579 0.000 0.000
Al 0.000 0.229 0.500
Al 0.229 0.000 0.500
Al 0.771 0.771 0.500
Pd 0.000 0.000 0.000
Pd 0.333 0.667 0.500
Pd 0.667 0.333 0.500
```

Values from the calculation:
**Total moment**: 0.0 Bohr magnetons per cell
**Energy**: -16.10 eV/f.u.
**Space group**: P-62m



Compound: BaZn2Se3
Source: OQMD
Functional: GGA-PBE
Structure: optimized geometry Values from VASP.

The structure in Quantum ESPRESSO input format:
```
&SYSTEM
  ibrav = 0, nat = 12, ntyp = 3
/
ATOMIC_SPECIES
Ba 137.33 Ba.upf
Zn 65.41 Zn.upf
Se 78.96 Se.upf
CELL_PARAMETERS angstrom
2.058 -7.044 0.000
2.058 7.044 0.000
0.000 0.000 10.412
ATOMIC_POSITIONS crystal
Ba 0.247 0.753 0.750
Ba 0.753 0.247 0.250
Zn 0.000 0.000 0.000
Zn 0.000 0.000 0.500
Zn 0.469 0.531 0.250
Zn 0.531 0.469 0.750
Se 0.069 0.931 0.250
Se 0.374 0.626 0.052
Se 0.374 0.626 0.448
Se 0.626 0.374 0.552
Se 0.626 0.374 0.948
Se 0.931 0.069 0.750
```

Values from the calculation:
**Energy**: -20.93 eV/f.u.
**Space group**: Cmcm



Compound: Tm6TcSn2
Source: OQMD
Functional: GGA-PBE
Structure: optimized geometry Values from VASP.

The structure in Quantum ESPRESSO input format:
```
&SYSTEM
  ibrav = 0, nat = 9, ntyp = 3
/
ATOMIC_SPECIES
Tm 168.93 Tm.upf
Tc 98.00 Tc.upf
Sn 118.71 Sn.upf
CELL_PARAMETERS angstrom
7.963 0.000 0.000
-3.982 6.896 0.000
0.000 0.000 4.350
ATOMIC_POSITIONS crystal
Tm 0.000 0.399 0.000
Tm 0.000 0.759 0.500
Tm 0.241 0.241 0.500
Tm 0.399 0.000 0.000
Tm 0.601 0.601 0.000
Tm 0.759 0.000 0.500
Tc 0.000 0.000 0.000
Sn 0.333 0.667 0.500
Sn 0.667 0.333 0.500
```

Values from the calculation:
**Total moment**: 0.0 Bohr magnetons per cell
**Energy**: -49.43 eV/f.u.
**Space group**: P-62m



Compound: Dy2HoTlCd3Ga2
Source: OQMD
Functional: GGA-PBE
Structure: optimized geometry Values from VASP.

The structure in Quantum ESPRESSO input format:
```
&SYSTEM
  ibrav = 0, nat = 9, ntyp = 5
/
ATOMIC_SPECIES
Dy 162.50 Dy.upf
Ho 164.93 Ho.upf
Tl 204.38 Tl.upf
Cd 112.41 Cd.upf
Ga 69.72 Ga.upf
CELL_PARAMETERS angstrom
4.514 0.000 0.000
0.000 6.345 3.667
0.000 -6.345 3.667
ATOMIC_POSITIONS crystal
Dy 0.000 0.217 0.783
Dy 0.000 0.783 0.217
Ho 0.000 0.350 0.350
Tl 0.000 0.783 0.783
Cd 0.500 0.044 0.044
Cd 0.500 0.523 0.783
Cd 0.500 0.783 0.523
Ga 0.500 0.117 0.450
Ga 0.500 0.450 0.117
```

Values from the calculation:
**Total moment**: 0.0 Bohr magnetons per cell
**Energy**: -28.88 eV/f.u.
**Space group**: Amm2



Compound: ScGaGePt
Source: OQMD
Functional: GGA-PBE
Structure: optimized geometry Values from VASP.

The structure in Quantum ESPRESSO input format:
```
&SYSTEM
  ibrav = 0, nat = 16, ntyp = 4
/
ATOMIC_SPECIES
Sc 44.96 Sc.upf
Ga 69.72 Ga.upf
Ge 72.64 Ge.upf
Pt 195.08 Pt.upf
CELL_PARAMETERS angstrom
6.576 0.000 0.000
0.000 4.239 0.000
0.000 0.000 9.941
ATOMIC_POSITIONS crystal
Sc 0.000 0.000 0.000
Sc 0.000 0.500 0.500
Sc 0.500 0.000 0.163
Sc 0.500 0.500 0.663
Ga 0.203 0.000 0.709
Ga 0.203 0.500 0.209
Ga 0.797 0.000 0.709
Ga 0.797 0.500 0.209
Ge 0.292 0.000 0.456
Ge 0.292 0.500 0.956
Ge 0.708 0.000 0.456
Ge 0.708 0.500 0.956
Pt 0.000 0.000 0.282
Pt 0.000 0.500 0.782
Pt 0.500 0.000 0.878
Pt 0.500 0.500 0.378
```

Values from the calculation:
**Total moment**: 0.1 Bohr magnetons per cell
**Energy above the lowest structure with this stoichiometry**: 0.003 eV per atom
**Space group**: Amm2



Compound: KTbInS3
Source: OQMD
Functional: GGA-PBE
Structure: optimized geometry Values from VASP.

The structure in Quantum ESPRESSO input format:
```
&SYSTEM
  ibrav = 0, nat = 12, ntyp = 4
/
ATOMIC_SPECIES
K 39.10 K.upf
Tb 158.93 Tb.upf
In 114.82 In.upf
S 32.06 S.upf
CELL_PARAMETERS angstrom
2.271 -7.052 0.000
2.271 7.052 0.000
0.000 0.000 10.701
ATOMIC_POSITIONS crystal
K 0.245 0.755 0.750
K 0.755 0.245 0.250
Tb 0.500 0.500 0.000
Tb 0.500 0.500 0.500
In 0.017 0.983 0.250
In 0.983 0.017 0.750
S 0.121 0.879 0.054
S 0.121 0.879 0.446
S 0.433 0.567 0.250
S 0.567 0.433 0.750
S 0.879 0.121 0.554
S 0.879 0.121 0.946
```

Values from the calculation:
**Total moment**: 0.0 Bohr magnetons per cell
**Energy**: -27.93 eV/f.u.
**Space group**: Cmcm



Please write out number 2 again, unchanged.
Compound: LiPm2Al3
Source: OQMD
Functional: GGA-PBE
Structure: optimized geometry Values from VASP.

The structure in Quantum ESPRESSO input format:
```
&SYSTEM
  ibrav = 0, nat = 12, ntyp = 3
/
ATOMIC_SPECIES
Li 6.94 Li.upf
Pm 145.00 Pm.upf
Al 26.98 Al.upf
CELL_PARAMETERS angstrom
5.724 0.000 0.000
-2.862 4.957 0.000
0.000 0.000 9.076
ATOMIC_POSITIONS crystal
Li 0.000 0.000 0.000
Li 0.000 0.000 0.500
Pm 0.333 0.667 0.074
Pm 0.333 0.667 0.426
Pm 0.667 0.333 0.574
Pm 0.667 0.333 0.926
Al 0.170 0.340 0.750
Al 0.170 0.830 0.750
Al 0.340 0.170 0.250
Al 0.660 0.830 0.750
Al 0.830 0.170 0.250
Al 0.830 0.660 0.250
```

Values from the calculation:
**Total moment**: 0.0 Bohr magnetons per cell
**Energy**: -24.95 eV/f.u.
**Space group**: P6_3/mmc